VASP calculation (PBE-GGA) on crystalline Th4SnTe2As at its relaxed geometry.

Computed properties:
As for the crystal system: monoclinic. The calculation puts the uncorrected formation energy at -1.01 eV/atom.

The structure in POSCAR format:
```
Th4SnTe2As
1.0
7.6660 0.0000 0.0000
0.0000 4.4320 0.0000
-2.5710 0.0000 7.3061
Th Sn Te As
4 1 2 1
Cartesian
1.1622 0.0000 1.6289
-0.1397 2.2160 5.6073
5.2346 2.2160 1.6988
3.9327 0.0000 5.6772
3.8330 0.0000 0.0000
-1.2855 0.0000 3.6531
2.5475 2.2160 3.6531
0.0000 2.2160 0.0000
```